No. 1
CePmThTl | PBE-GGA | relaxed

## Properties
magnetization	0.62	μB per cell
formation enthalpy at 0 K	58	meV/atom

Unit cell a=5.5115 b=5.5115 c=5.5115 alpha=60.00 beta=60.00 gamma=60.00
Closest atoms and distances in Å follow each position.
Element x y z (fractional)
Ce 0.0000 0.0000 0.0000  4 Pm 3.38, 4 Th 3.38
Pm 0.7500 0.7500 0.7500  4 Tl 3.38, 4 Ce 3.38
Th 0.2500 0.2500 0.2500  4 Tl 3.38, 4 Ce 3.38
Tl 0.5000 0.5000 0.5000  4 Pm 3.38, 4 Th 3.38

---

No. 2
Nd2Tm3Sn2 | PBE-GGA | relaxed

## Properties
magnetization	0.40	μB per cell
formation enthalpy at 0 K	-459	meV/atom

Unit cell a=6.4592 b=6.4592 c=8.5589 alpha=109.98 beta=109.98 gamma=40.34
Closest atoms and distances in Å follow each position.
Element x y z (fractional)
Nd 0.1373 0.1373 0.2942  3 Sn 3.26-3.43, 2 Tm 3.60
Nd 0.8627 0.8627 0.7058  3 Sn 3.26-3.43, 2 Tm 3.60
Tm 0.3774 0.3774 0.0597  3 Sn 3.16, 2 Tm 3.48-3.51
Tm 0.5000 0.5000 0.5000  4 Sn 3.10
Tm 0.6226 0.6226 0.9403  3 Sn 3.16, 2 Tm 3.48-3.51
Sn 0.1672 0.1672 0.7080  5 Tm 3.10-3.16, 3 Nd 3.26-3.43
Sn 0.8328 0.8328 0.2920  5 Tm 3.10-3.16, 3 Nd 3.26-3.43

---

No. 3
HoTh2AgRh5 | PBE-GGA | relaxed

## Properties
magnetization	0.00	μB per cell
formation enthalpy at 0 K	-300	meV/atom

Unit cell a=8.0939 b=8.0939 c=8.0939 alpha=118.32 beta=118.32 gamma=92.93
Closest atoms and distances in Å follow each position.
Element x y z (fractional)
Ho 0.2500 0.2500 0.0000  2 Rh 2.79
Ho 0.7500 0.7500 0.0000  2 Rh 2.79
Th 0.1395 0.6395 0.7789  2 Rh 2.49
Th 0.3605 0.1395 0.5000  2 Rh 2.49
Th 0.6395 0.8605 0.5000  2 Rh 2.49
Th 0.8605 0.3605 0.2211  2 Rh 2.49
Ag 0.2500 0.7500 0.5000  4 Rh 2.60
Ag 0.7500 0.2500 0.5000  4 Rh 2.60
Rh 0.0000 0.0000 0.0000  2 Ho 2.79
Rh 0.0564 0.1688 0.5000  1 Th 2.49, 1 Ag 2.60
Rh 0.1688 0.6688 0.1124  1 Th 2.49, 1 Ag 2.60
Rh 0.3312 0.4436 0.5000  1 Th 2.49, 1 Ag 2.60
Rh 0.4436 0.9436 0.1124  1 Th 2.49, 1 Ag 2.60
Rh 0.5000 0.5000 0.0000  2 Ho 2.79
Rh 0.5564 0.0564 0.8876  1 Th 2.49, 1 Ag 2.60
Rh 0.6688 0.5564 0.5000  1 Th 2.49, 1 Ag 2.60
Rh 0.8312 0.3312 0.8876  1 Th 2.49, 1 Ag 2.60
Rh 0.9436 0.8312 0.5000  1 Th 2.49, 1 Ag 2.60

---

No. 4
Cu5Hg2Pd12 | PBE-GGA | relaxed

## Properties
magnetization	0.00	μB per cell
formation enthalpy at 0 K	156	meV/atom

Unit cell a=7.7527 b=7.7527 c=8.4837 alpha=104.95 beta=104.95 gamma=41.68
Closest atoms and distances in Å follow each position.
Element x y z (fractional)
Cu 0.0000 0.0000 0.0000  6 Pd 2.56-2.83
Cu 0.3069 0.3069 0.1360  7 Pd 2.51-2.57
Cu 0.3563 0.3563 0.6414  7 Pd 2.47-2.71
Cu 0.6437 0.6437 0.3586  7 Pd 2.47-2.71
Cu 0.6931 0.6931 0.8640  7 Pd 2.51-2.57
Hg 0.2528 0.7472 0.5000  2 Hg 2.73-2.79, 4 Pd 2.81, 2 Cu 3.00
Hg 0.7472 0.2528 0.5000  2 Hg 2.73-2.79, 4 Pd 2.81, 2 Cu 3.00
Pd 0.0453 0.5521 0.3770  3 Cu 2.51-2.59, 4 Pd 2.72-2.80
Pd 0.1028 0.5914 0.9136  4 Cu 2.51-2.71, 4 Pd 2.70-2.78
Pd 0.1120 0.1120 0.3317  6 Pd 2.71-2.97, 3 Cu 2.79-2.83, 2 Hg 2.81
Pd 0.4086 0.8972 0.0864  4 Cu 2.51-2.71, 4 Pd 2.70-2.78
Pd 0.4479 0.9547 0.6230  3 Cu 2.51-2.59, 4 Pd 2.72-2.80
Pd 0.4856 0.4856 0.1527  2 Cu 2.47-2.55, 1 Pd 2.74
Pd 0.5144 0.5144 0.8473  2 Cu 2.47-2.55, 1 Pd 2.74
Pd 0.5521 0.0453 0.3770  3 Cu 2.51-2.59, 4 Pd 2.72-2.80
Pd 0.5914 0.1028 0.9136  4 Cu 2.51-2.71, 4 Pd 2.70-2.78
Pd 0.8880 0.8880 0.6683  6 Pd 2.71-2.97, 3 Cu 2.79-2.83, 2 Hg 2.81
Pd 0.8972 0.4086 0.0864  4 Cu 2.51-2.71, 4 Pd 2.70-2.78
Pd 0.9547 0.4479 0.6230  3 Cu 2.51-2.59, 4 Pd 2.72-2.80

---

No. 5
Li3TbHg3 | PBE-GGA | relaxed

## Properties
magnetization	0.00	μB per cell
formation enthalpy at 0 K	48	meV/atom

Unit cell a=6.9774 b=6.9774 c=6.9774 alpha=90.00 beta=90.00 gamma=90.00
Closest atoms and distances in Å follow each position.
Element x y z (fractional)
Li 0.0000 0.2500 0.5000  4 Hg 2.47
Li 0.0000 0.7500 0.5000  4 Hg 2.47
Li 0.2500 0.5000 0.0000  4 Hg 2.47
Li 0.5000 0.0000 0.2500  4 Hg 2.47
Li 0.5000 0.0000 0.7500  4 Hg 2.47
Li 0.7500 0.5000 0.0000  4 Hg 2.47
Tb 0.0000 0.0000 0.0000  12 Hg 3.90, 12 Li 3.90
Tb 0.5000 0.5000 0.5000  12 Hg 3.90, 12 Li 3.90
Hg 0.0000 0.5000 0.2500  4 Li 2.47
Hg 0.0000 0.5000 0.7500  4 Li 2.47
Hg 0.2500 0.0000 0.5000  4 Li 2.47
Hg 0.5000 0.2500 0.0000  4 Li 2.47
Hg 0.5000 0.7500 0.0000  4 Li 2.47
Hg 0.7500 0.0000 0.5000  4 Li 2.47

---

No. 6
Ba4Sr3Ca | PBE-GGA | relaxed

## Properties
magnetization	0.00	μB per cell
formation enthalpy at 0 K	27	meV/atom

Unit cell a=14.7853 b=14.7853 c=7.5095 alpha=104.40 beta=104.40 gamma=16.79
Closest atoms and distances in Å follow each position.
Element x y z (fractional)
Ba 0.1215 0.1215 0.4501  1 Ca 4.24, 6 Sr 4.25-4.36, 5 Ba 4.32-4.45
Ba 0.2495 0.2495 0.2476  9 Ba 4.31-4.45, 3 Sr 4.45
Ba 0.7505 0.7505 0.7524  9 Ba 4.31-4.45, 3 Sr 4.45
Ba 0.8785 0.8785 0.5499  1 Ca 4.24, 6 Sr 4.25-4.36, 5 Ba 4.32-4.45
Sr 0.3805 0.3805 0.0480  2 Ca 4.20, 3 Sr 4.22-4.32, 7 Ba 4.31-4.45
Sr 0.5000 0.5000 0.5000  4 Sr 4.22-4.32, 4 Ba 4.25, 4 Ca 4.33
Sr 0.6195 0.6195 0.9520  2 Ca 4.20, 3 Sr 4.22-4.32, 7 Ba 4.31-4.45
Ca 0.0000 0.0000 0.0000  8 Sr 4.20-4.33, 2 Ba 4.24, 2 Ca 4.32

---

No. 7
NbCo2Cu2 | PBE-GGA | relaxed

## Properties
magnetization	0.00	μB per cell
formation enthalpy at 0 K	227	meV/atom

Unit cell a=6.3033 b=6.3033 c=6.3033 alpha=149.05 beta=149.05 gamma=44.33
Closest atoms and distances in Å follow each position.
Element x y z (fractional)
Nb 0.0000 0.0000 0.0000  8 Co 2.64
Co 0.4018 0.4018 0.0000  1 Co 2.29, 4 Cu 2.44
Co 0.5982 0.5982 0.0000  1 Co 2.29, 4 Cu 2.44
Cu 0.2500 0.7500 0.5000  4 Cu 2.38, 4 Co 2.44
Cu 0.7500 0.2500 0.5000  4 Cu 2.38, 4 Co 2.44

---

No. 8
Sm5Cd2Hg2 | PBE-GGA | relaxed

## Properties
magnetization	0.00	μB per cell
formation enthalpy at 0 K	-271	meV/atom

Unit cell a=9.2901 b=9.2901 c=8.5084 alpha=90.00 beta=90.00 gamma=46.46
Closest atoms and distances in Å follow each position.
Element x y z (fractional)
Sm 0.0000 0.0000 0.0000  4 Hg 3.09-3.15
Sm 0.0378 0.6831 0.6831  3 Cd 3.12-3.27, 2 Hg 3.21
Sm 0.1831 0.5378 0.1831  3 Cd 3.12-3.27, 2 Hg 3.21
Sm 0.3169 0.9622 0.6831  3 Cd 3.12-3.27, 2 Hg 3.21
Sm 0.4622 0.8169 0.1831  3 Cd 3.12-3.27, 2 Hg 3.21
Sm 0.5000 0.5000 0.5000  4 Hg 3.09-3.15
Sm 0.5378 0.1831 0.8169  3 Cd 3.12-3.27, 2 Hg 3.21
Sm 0.6831 0.0378 0.3169  3 Cd 3.12-3.27, 2 Hg 3.21
Sm 0.8169 0.4622 0.8169  3 Cd 3.12-3.27, 2 Hg 3.21
Sm 0.9622 0.3169 0.3169  3 Cd 3.12-3.27, 2 Hg 3.21
Cd 0.2161 0.2161 0.0000  6 Sm 3.12-3.27
Cd 0.2839 0.2839 0.5000  6 Sm 3.12-3.27
Cd 0.7161 0.7161 0.5000  6 Sm 3.12-3.27
Cd 0.7839 0.7839 0.0000  6 Sm 3.12-3.27
Hg 0.1116 0.8884 0.3581  1 Hg 2.92, 6 Sm 3.09-3.21
Hg 0.3884 0.6116 0.8581  1 Hg 2.92, 6 Sm 3.09-3.21
Hg 0.6116 0.3884 0.1419  1 Hg 2.92, 6 Sm 3.09-3.21
Hg 0.8884 0.1116 0.6419  1 Hg 2.92, 6 Sm 3.09-3.21

---

No. 9
Te2PdN | PBE-GGA | relaxed

## Properties
magnetization	0.00	μB per cell
uncorrected formation energy	1.696	eV per formula unit

Unit cell a=6.8994 b=6.8994 c=6.8994 alpha=36.10 beta=36.10 gamma=36.10
Closest atoms and distances in Å follow each position.
Element x y z (fractional)
Te 0.1001 0.1001 0.1001  1 N 1.94
Te 0.8999 0.8999 0.8999  1 N 1.94
Pd 0.5000 0.5000 0.5000  6 Te 2.78
N 0.0000 0.0000 0.0000  2 Te 1.94

---

No. 10
NaCaMg | PBE-GGA | relaxed

## Properties
magnetization	0.00	μB per cell
formation enthalpy at 0 K	50	meV/atom

Unit cell a=6.9379 b=6.9379 c=6.9379 alpha=147.01 beta=147.01 gamma=47.34
Closest atoms and distances in Å follow each position.
Element x y z (fractional)
Na 0.0000 0.0000 0.0000  4 Mg 3.34, 4 Ca 3.73
Ca 0.3048 0.3048 0.0000  4 Mg 3.44, 4 Na 3.73
Mg 0.6456 0.6456 0.0000  4 Na 3.34, 4 Ca 3.44

---

No. 11
Pu8Sn2H | PBE-GGA | relaxed

## Properties
magnetization	0.20	μB per cell
E	-11.519	eV per atom

Unit cell a=5.3063 b=6.2303 c=7.6625 alpha=102.95 beta=101.99 gamma=102.51
Closest atoms and distances in Å follow each position.
Element x y z (fractional)
Pu 0.0645 0.3943 0.1838  1 H 2.45, 1 Pu 2.72
Pu 0.2086 0.8781 0.2579  1 H 2.42, 2 Pu 2.60-2.61
Pu 0.3023 0.8554 0.5990  2 Pu 2.60-2.61
Pu 0.3974 0.2228 0.0002  1 H 2.26
Pu 0.6026 0.7772 0.9998  1 H 2.26
Pu 0.6977 0.1446 0.4010  2 Pu 2.60-2.61
Pu 0.7914 0.1219 0.7421  1 H 2.42, 2 Pu 2.60-2.61
Pu 0.9355 0.6057 0.8162  1 H 2.45, 1 Pu 2.72
Sn 0.3076 0.3554 0.6110  12 Pu 3.09-3.40, 1 Sn 3.40
Sn 0.6924 0.6446 0.3890  12 Pu 3.09-3.40, 1 Sn 3.40
H 0.0000 0.0000 0.0000  6 Pu 2.26-2.45

---

No. 12
PaMnSi2Ir | PBE-GGA | relaxed

## Properties
magnetization	0.00	μB per cell
uncorrected formation energy	-3.915	eV per formula unit

Unit cell a=5.5997 b=5.5997 c=5.5997 alpha=137.16 beta=137.16 gamma=62.19
Closest atoms and distances in Å follow each position.
Element x y z (fractional)
Pa 0.0000 0.0000 0.0000  8 Si 3.13, 4 Mn 3.15, 4 Ir 3.15
Mn 0.2500 0.7500 0.5000  4 Si 2.37
Si 0.3739 0.3739 0.0000  2 Mn 2.37, 2 Ir 2.37, 1 Si 2.42
Si 0.6261 0.6261 0.0000  2 Mn 2.37, 2 Ir 2.37, 1 Si 2.42
Ir 0.7500 0.2500 0.5000  4 Si 2.37

---

magnetization of number 10 (NaCaMg)?
0.00 μB per cell

---

Which formula does entry 2 have?
Nd2Tm3Sn2

---

magnetization of number 2 (Nd2Tm3Sn2)?
0.40 μB per cell

---

Which value of magnetization does entry 9 give?
0.00 μB per cell